(1)
Ag2OsAu: relaxed, PBE.

Unit cell a=4.5909 b=4.5909 c=4.5909 alpha=60.00 beta=60.00 gamma=60.00
Last column: nearest neighbours and their distance in Å.
Positions (direct):
1 Os 0.0000 0.0000 0.0000  8 Ag 2.81
2 Au 0.5000 0.5000 0.5000  8 Ag 2.81
3 Ag 0.2500 0.2500 0.2500  4 Au 2.81, 4 Os 2.81
4 Ag 0.7500 0.7500 0.7500  4 Au 2.81, 4 Os 2.81

Energy above the lowest structure with this stoichiometry, meV per atom: 445
Energy of formation from the pure elements, eV/atom: 0.83
DFT total energy, Ry per atom: -0.3106

***

(2)
AgOsAu2: relaxed, PBE.

Unit cell a=2.8032 b=2.8032 c=10.0036 alpha=90.00 beta=90.00 gamma=119.66
Last column: nearest neighbours and their distance in Å.
Positions (direct):
1 Os 0.5000 0.5000 0.2500  6 Os 2.80-2.82, 4 Au 2.84
2 Au 0.0000 0.0000 0.0035  6 Au 2.80-2.82, 2 Os 2.84, 2 Ag 2.90
3 Au 0.0000 0.0000 0.4965  6 Au 2.80-2.82, 2 Os 2.84, 2 Ag 2.90
4 Ag 0.5000 0.5000 0.7500  6 Ag 2.80-2.82, 4 Au 2.90

Energy above the lowest structure with this stoichiometry, meV per atom: 81
Energy of formation from the pure elements, eV/atom: 0.44
DFT total energy, Ry per atom: -0.3468

***

(3)
Ag2OsAu: relaxed, PBE.

Unit cell a=5.7893 b=5.7893 c=5.7893 alpha=152.79 beta=128.64 gamma=59.08
Last column: nearest neighbours and their distance in Å.
Positions (direct):
1 Os 0.2539 0.7539 0.5000  2 Os 2.72, 2 Au 2.75, 6 Ag 2.83-2.86
2 Au 0.4912 0.4912 0.0000  2 Au 2.72, 2 Os 2.75, 6 Ag 2.86-2.92
3 Ag 0.0074 0.0074 0.0000  4 Ag 2.72-2.95, 2 Os 2.83, 4 Au 2.86
4 Ag 0.7476 0.2476 0.5000  4 Ag 2.72-2.95, 4 Os 2.86, 2 Au 2.92

Energy above the lowest structure with this stoichiometry, meV per atom: 214
Energy of formation from the pure elements, eV/atom: 0.60
DFT total energy, Ry per atom: -0.3275

***

(4)
Ag2OsAu: relaxed, PBE.

Unit cell a=2.7192 b=4.2286 c=5.8711 alpha=90.00 beta=90.00 gamma=90.00
Last column: nearest neighbours and their distance in Å.
Positions (direct):
1 Os 0.5000 0.5000 0.7440  2 Os 2.72, 4 Au 2.85, 6 Ag 2.92-2.94
2 Au 0.0000 0.0000 0.5161  2 Au 2.72, 5 Ag 2.81-2.98, 4 Os 2.85
3 Ag 0.0000 0.0000 0.9955  6 Ag 2.72-2.91, 1 Au 2.81, 4 Os 2.92
4 Ag 0.5000 0.5000 0.2444  6 Ag 2.72-2.91, 2 Os 2.93-2.94, 4 Au 2.98

Energy above the lowest structure with this stoichiometry, meV per atom: 177
Energy of formation from the pure elements, eV/atom: 0.56
DFT total energy, Ry per atom: -0.3303

***

(5)
AgOs2Au: relaxed, PBE.

Unit cell a=2.7255 b=4.4143 c=5.3551 alpha=90.00 beta=90.00 gamma=90.00
Last column: nearest neighbours and their distance in Å.
Positions (direct):
1 Os 0.0000 0.0000 0.0195  3 Os 2.47-2.73
2 Os 0.0000 0.0000 0.4805  3 Os 2.47-2.73
3 Au 0.5000 0.5000 0.7500  2 Ag 2.68, 2 Au 2.73, 8 Os 2.97
4 Ag 0.5000 0.5000 0.2500  2 Au 2.68, 2 Ag 2.73, 8 Os 2.87

Energy above the lowest structure with this stoichiometry, meV per atom: 561
Energy of formation from the pure elements, eV/atom: 0.88
DFT total energy, Ry per atom: -0.4607

***

(6)
AgOs2Au: relaxed, PBE.

Unit cell a=2.8167 b=2.8167 c=8.1729 alpha=90.00 beta=90.00 gamma=90.00
Last column: nearest neighbours and their distance in Å.
Positions (direct):
1 Os 0.0000 0.0000 0.0250  8 Os 2.57-2.82
2 Os 0.5000 0.5000 0.2237  8 Os 2.57-2.82
3 Au 0.5000 0.5000 0.7610  4 Au 2.82, 4 Os 2.94, 4 Ag 2.98
4 Ag 0.0000 0.0000 0.4902  4 Ag 2.82, 4 Os 2.95, 4 Au 2.98

Energy above the lowest structure with this stoichiometry, meV per atom: 0
Energy of formation from the pure elements, eV/atom: 0.32
DFT total energy, Ry per atom: -0.5020

***

> What is the energy above the lowest structure with this stoichiometry in the second record?

81 meV per atom

***

> Which formula does entry 6 have?

AgOs2Au

***

> DFT total energy of number 6 (AgOs2Au)?

-0.5020 Ry per atom